1.
Here is crystalline K3Be2PbO6 at its relaxed geometry from Alexandria via LeMat-Bulk. Energies are from GGA-PBE.

```
K3Be2PbO6
1.0
5.6821 0.0000 0.0000
-2.8411 4.9209 0.0000
0.0000 0.0000 6.9798
K Be Pb O
3 2 1 6
Cartesian
0.0000 0.0000 0.0000
0.0000 3.2806 5.1704
2.8411 1.6403 1.8093
0.0000 3.2806 2.1826
2.8411 1.6403 4.7971
0.0000 0.0000 3.4899
0.0000 1.7390 2.1203
-1.3351 4.0514 2.1203
1.5060 0.8695 4.8595
1.3351 4.0514 2.1203
4.1761 0.8695 4.8595
2.8411 3.1819 4.8595
```

Calculated values
- Energy: -63.3 eV/cell
- SG: No. 164
- Energy relative to the elements, uncorrected: -1.59 eV/atom



2.
Here is crystalline K3CuF5 at its relaxed geometry from Alexandria via LeMat-Bulk. Energies are from GGA-PBE.

```
K3CuF5
1.0
7.1366 0.0000 0.0000
0.0000 7.1366 0.0000
0.0000 0.0000 6.2665
K Cu F
6 2 10
Cartesian
0.0000 0.0000 0.0000
1.2507 2.3176 3.1332
2.3176 5.8859 3.1332
3.5683 3.5683 0.0000
4.8190 1.2507 3.1332
5.8859 4.8190 3.1332
0.0000 3.5683 0.0000
3.5683 0.0000 0.0000
0.0000 0.0000 3.1332
0.9560 4.5243 1.3188
0.9560 4.5243 4.9476
2.6123 0.9560 1.3188
2.6123 0.9560 4.9476
3.5683 3.5683 3.1332
4.5243 6.1806 1.3188
4.5243 6.1806 4.9476
6.1806 2.6123 1.3188
6.1806 2.6123 4.9476
```

Calculated values
- Energy: -76.0 eV/cell
- SG: No. 127
- Energy above the most stable polymorph in this dataset: 0.0 meV/atom
- Energy relative to the elements, uncorrected: -2.36 eV/atom



3.
Here is crystalline Y2Ag2Ir at its relaxed geometry from Alexandria via LeMat-Bulk. Energies are from GGA-PBE.

```
Y2Ag2Ir
1.0
-3.2144 6.3045 2.8960
3.2144 -6.3045 2.8960
3.2144 6.3045 -2.8960
Y Ag Ir
4 4 2
Cartesian
1.2833 1.9984 0.0000
1.2833 -1.9984 2.8960
1.9311 8.3030 0.0000
1.9311 4.3061 2.8960
4.2366 1.1641 0.0000
1.0222 5.1404 0.0000
2.1923 1.1641 2.8960
-1.0222 5.1404 2.8960
0.0000 0.0000 1.4480
0.0000 0.0000 4.3439
```

Calculated values
- Energy: -58.0 eV/cell
- Formation enthalpy at 0 K: -0.2996 eV per atom
- SG: No. 72
- Energy above the most stable polymorph in this dataset: 0.0 meV/atom



4.
Here is crystalline MgScMn2 at its relaxed geometry from Alexandria via LeMat-Bulk. Energies are from GGA-PBE.

```
MgScMn2
1.0
-1.5433 2.2940 4.6341
1.5433 -2.2940 4.6341
1.5433 2.2940 -4.6341
Mg Sc Mn
1 1 2
Cartesian
0.0000 0.0000 0.0000
0.0000 2.2940 2.0103
1.5433 0.0000 2.3977
0.0000 0.0000 4.1076
```

Calculated values
- Energy: -25.6 eV/cell
- Formation enthalpy at 0 K: 0.1609 eV per atom
- SG: No. 44



Per-record calculated volume, Å³/cell: 195.16 319.16 234.75 65.62